No. 1
The following is a DFT calculation (PBE) of a geometry-optimized RbRe2As structure.

Cell and atoms, written as extended XYZ:
```
8
Lattice="-2.460 2.460 8.814 2.460 -2.460 8.814 2.460 2.460 -8.814" Properties=species:S:1:pos:R:3 pbc="T T T"
Rb 0.000 0.000 0.000
Rb 0.000 2.460 4.407
Re 1.230 2.307 -2.203
Re 2.612 1.230 2.203
Re 1.230 0.153 6.610
Re -0.153 1.230 11.017
As 2.460 0.000 4.407
As 0.000 0.000 8.814
```

* total magnetic moment: 2.71 μB per cell
* volume: 213 Å³ per cell
* electronic total energy: -6.414 eV per atom
* space group: I-42d (122)
* DFT formation energy: 1.21 eV per atom

---

No. 2
The following is a DFT calculation (PBE) of a geometry-optimized RbHf2FeOs structure.

Cell and atoms, written as extended XYZ:
```
5
Lattice="4.865 0.000 0.000 0.000 4.865 0.000 0.000 0.000 4.584" Properties=species:S:1:pos:R:3 pbc="T T T"
Rb 0.000 0.000 0.000
Hf 0.000 2.432 0.000
Hf 2.432 0.000 0.000
Fe 2.432 2.432 2.292
Os 0.000 0.000 2.292
```

* total magnetic moment: 0.00 μB per cell
* volume: 108 Å³ per cell
* electronic total energy: -5.005 eV per atom
* space group: P4/mmm (123)
* DFT formation energy: 3.11 eV per atom

---

No. 3
The following is a DFT calculation (PBE) of a geometry-optimized ZnInPPt structure.

Cell and atoms, written as extended XYZ:
```
4
Lattice="4.465 0.000 0.000 0.000 4.163 0.000 -1.877 0.000 4.401" Properties=species:S:1:pos:R:3 pbc="T T T"
Zn 0.000 0.000 0.000
In 2.350 2.082 0.296
P 0.061 0.000 2.881
Pt 0.116 2.082 1.726
```

* total magnetic moment: 0.00 μB per cell
* energy relative to the lowest polymorph listed for this composition: 14 meV/atom
* volume: 82 Å³ per cell
* electronic total energy: -4.077 eV per atom
* space group: Pm (6)
* DFT formation energy: -0.21 eV per atom

---

What is the formula in the third record?
ZnInPPt